No. 1
{"formula": "Tb7ErCd4", "functional": "GGA-PBE", "state": "optimized geometry", "lattice_angstrom": [[7.363, -2.856, 0.000], [7.363, 2.856, 0.000], [-5.163, 0.000, 8.272]], "species": ["Tb", "Tb", "Tb", "Tb", "Tb", "Tb", "Tb", "Er", "Cd", "Cd", "Cd", "Cd"], "fractional_positions": [[0.000, 0.000, 0.000], [0.239, 0.239, 0.695], [0.295, 0.295, 0.119], [0.429, 0.429, 0.589], [0.571, 0.571, 0.411], [0.705, 0.705, 0.881], [0.761, 0.761, 0.305], [0.500, 0.500, 0.000], [0.042, 0.042, 0.712], [0.181, 0.181, 0.342], [0.819, 0.819, 0.658], [0.958, 0.958, 0.288]], "ef_ev_per_atom": 0.00, "spacegroup": "C2/m (12)", "magmom_total_mub_per_cell": 0.0, "e_tot_ev_per_fu": -40.58}

***

No. 2
{"formula": "NaFeSb2", "functional": "GGA-PBE", "state": "optimized geometry", "lattice_angstrom": [[1.769, 1.021, 8.503], [-1.769, 1.021, 8.503], [0.000, -2.043, 8.503]], "species": ["Na", "Fe", "Sb", "Sb"], "fractional_positions": [[0.000, 0.000, 0.000], [0.500, 0.500, 0.500], [0.231, 0.231, 0.231], [0.769, 0.769, 0.769]], "polymorph_energy_ev_per_fu": 0.00, "spacegroup": "R-3m (166)", "formation_energy_uncorrected_mev_per_atom": -50, "magmom_total_mub_per_cell": 1.7, "e_tot_ev_per_fu": -18.23}